[1]
Computed, not measured: a relaxed Pr7Sc crystal at the PBE level of DFT.

**Distance to the lowest polymorph of the same formula**: 0.048 eV/atom
**Energy of formation**: 0.077 eV per atom
**N(E_F)**: 12.07 states/eV/cell

Cell and atoms, written as extended XYZ:
```
8
Lattice="3.415 0.002 1.089 1.209 8.681 2.101 -0.972 -0.193 8.958" Properties=species:S:1:pos:R:3 pbc="T T T"
Pr 2.710 6.446 9.203
Pr 0.942 2.044 2.945
Pr 0.118 4.244 5.530
Pr 2.761 5.327 3.134
Pr 0.891 3.163 9.014
Pr 1.954 7.487 5.673
Pr 1.698 1.003 6.475
Sc 0.000 0.000 0.000
```


[2]
Computed, not measured: a relaxed PmErCdAg crystal at the PBE level of DFT.

**Distance to the lowest polymorph of the same formula**: 0.012 eV/atom
**Energy of formation**: -0.292 eV per atom
**N(E_F)**: 3.18 states/eV/cell

Cell and atoms, written as extended XYZ:
```
4
Lattice="-0.757 -5.115 -0.990 3.240 -2.556 -3.269 3.369 -3.575 1.894" Properties=species:S:1:pos:R:3 pbc="T T T"
Cd 4.389 -8.434 -1.774
Pm 2.926 -5.623 -1.183
Ag 1.463 -2.811 -0.591
Er 0.000 0.000 0.000
```


[3]
Computed, not measured: a relaxed Ni3BP crystal at the PBE level of DFT.

**Distance to the lowest polymorph of the same formula**: 0.804 eV/atom
**Energy of formation**: 0.882 eV per atom
**N(E_F)**: 5.58 states/eV/cell

Cell and atoms, written as extended XYZ:
```
5
Lattice="4.109 0.000 0.000 0.000 4.109 0.000 0.000 0.000 4.109" Properties=species:S:1:pos:R:3 pbc="T T T"
Ni 0.000 2.055 0.000
Ni 0.000 0.000 2.055
Ni 2.055 0.000 0.000
B 2.055 2.055 2.055
P 0.000 0.000 0.000
```